[1]
# PrErPu2Se4

A relaxed structure of PrErPu2Se4 (PBE, the Alexandria database).

Structure (POSCAR):
```
PrErPu2Se4
1.0
5.106 0.000 0.000
0.000 5.106 0.000
0.000 0.000 7.179
Pr Er Pu Se
1 1 2 4
Direct
0.000 0.000 0.000
0.500 0.500 0.000
0.000 0.000 0.500
0.500 0.500 0.500
0.000 0.500 0.250
0.000 0.500 0.750
0.500 0.000 0.250
0.500 0.000 0.750
```

ΔE_f (raw)	-1341	meV per atom
V	23.4	Å³ per atom

***

[2]
# Tb2Pr3Er6Pu

A relaxed structure of Tb2Pr3Er6Pu (PBE, the Alexandria database).

Structure (POSCAR):
```
Tb2Pr3Er6Pu
1.0
3.087 -5.348 0.000
3.087 5.348 0.000
-2.059 0.000 11.504
Tb Pr Er Pu
2 3 6 1
Direct
0.167 0.833 0.000
0.833 0.167 0.000
0.000 0.000 0.500
0.333 0.667 0.500
0.667 0.333 0.500
0.090 0.418 0.756
0.253 0.253 0.244
0.418 0.090 0.756
0.582 0.910 0.244
0.747 0.747 0.756
0.910 0.582 0.244
0.500 0.500 0.000
```

energy of formation from the pure elements	0.04	eV/atom
V	31.7	Å³ per atom

***

[3]
# Tb6Pr3Er2Pu

A relaxed structure of Tb6Pr3Er2Pu (PBE, the Alexandria database).

Structure (POSCAR):
```
Tb6Pr3Er2Pu
1.0
3.099 -5.371 0.000
3.099 5.371 0.000
-2.075 0.000 11.629
Tb Pr Er Pu
6 3 2 1
Direct
0.081 0.410 0.243
0.248 0.248 0.757
0.410 0.081 0.243
0.590 0.919 0.757
0.752 0.752 0.243
0.919 0.590 0.757
0.167 0.833 0.500
0.500 0.500 0.500
0.833 0.167 0.500
0.333 0.667 0.000
0.667 0.333 0.000
0.000 0.000 0.000
```

energy of formation from the pure elements	0.05	eV/atom
V	32.3	Å³ per atom

***

Number 1: E -62.7 eV for the cell shown. Number 2: E -64.8 eV for the cell shown. Number 3: E -65.0 eV for the cell shown.